VASP calculation (PBE+U) on a relaxed LiInMoO4 crystal.

Output
Final energy   -6.199 eV per atom

Cell: 6.370 6.370 6.370 Å, 120.01 119.30 90.60°
Sites, in units of the cell vectors:
Li: 0.366 0.116 0.250
Li: 0.634 0.884 0.750
In: 0.000 0.500 0.500
In: 0.500 0.500 0.000
Mo: 0.000 0.000 0.500
Mo: 0.000 0.500 0.000
O: 0.215 0.250 0.965
O: 0.215 0.750 0.465
O: 0.231 0.249 0.518
O: 0.231 0.713 0.982
O: 0.769 0.287 0.018
O: 0.769 0.751 0.482
O: 0.785 0.250 0.535
O: 0.785 0.750 0.035